# Ca4Sn2Ge PBE-GGA relaxed
# raw total energy: -0.240 Ry/atom
# spin magnetization: 0.000 μB per cell
# calculated density: 3.2 g cm⁻³
data_Ca4Sn2Ge
_chemical_formula_sum 'Ca8 Sn4 Ge2'
_cell_length_a 5.649
_cell_length_b 5.649
_cell_length_c 15.223
_cell_angle_alpha 90.00
_cell_angle_beta 90.00
_cell_angle_gamma 90.00
_space_group_name_H-M_alt 'I 4/m m m'
_space_group_IT_number 139
_space_group_name_Hall '-I 4 2'
loop_
_atom_site_label
_atom_site_fract_x
_atom_site_fract_y
_atom_site_fract_z
Ca1 0.000 0.000 0.186
Ca2 0.000 0.500 0.000
Sn1 0.000 0.000 0.390
Ge1 0.000 0.000 0.000